PBE-GGA SrTl, optimized geometry; calculated volume = 75.6 Å³ per cell; space-group type = R-3m (166); formation energy from the elements = -0.50 eV per formula unit; electronic total energy = -2.27 eV per atom
1.0
-4.297 -3.616 -0.854
-3.098 -3.632 3.079
-5.409 -0.547 1.647
Sr Tl
1 1
Direct
0.000 0.000 0.000
0.500 0.500 0.500